# 1
SrLuZn2 | PBE | relaxed

The structure in POSCAR format:
```
SrLuZn2
1.0
0.000 3.608 3.608
3.608 0.000 3.608
3.608 3.608 0.000
Sr Zn Lu
1 2 1
direct
0.500 0.500 0.500
0.750 0.750 0.750
0.000 0.000 0.000
0.250 0.250 0.250
```

Summary:
Raw total energy in eV/atom: -1.99

=====

# 2
SrLuZn | PBE | relaxed

The structure in POSCAR format:
```
SrLuZn
1.0
0.000 3.682 3.682
3.682 0.000 3.682
3.682 3.682 0.000
Zn Sr Lu
1 1 1
direct
0.750 0.750 0.750
0.000 0.000 0.000
0.250 0.250 0.250
```

Summary:
Raw total energy in eV/atom: -1.70

=====

# 3
Sr2LuZn | PBE | relaxed

The structure in POSCAR format:
```
Sr2LuZn
1.0
-4.437 -1.701 -3.149
-5.007 2.689 0.442
-1.872 3.261 -4.284
Zn Sr Lu
1 2 1
direct
0.750 0.750 0.750
0.250 0.250 0.250
0.000 0.000 0.000
0.500 0.500 0.500
```

Summary:
Raw total energy in eV/atom: -2.02

=====

# 4
SrLuZr | PBE | relaxed

The structure in POSCAR format:
```
SrLuZr
1.0
0.000 3.872 3.872
3.872 0.000 3.872
3.872 3.872 0.000
Lu Zr Sr
1 1 1
direct
0.250 0.250 0.250
0.000 0.000 0.000
0.750 0.750 0.750
```

Summary:
Raw total energy in eV/atom: -3.87

=====

# 5
Lu2Ta | PBE | relaxed

The structure in POSCAR format:
```
Lu2Ta
1.0
3.309 -4.686 -1.261
3.871 -2.007 3.936
-0.973 -5.105 2.737
Lu Ta
4 2
direct
0.625 0.625 0.625
0.625 0.625 0.125
0.625 0.125 0.625
0.125 0.625 0.625
0.000 0.000 0.000
0.250 0.250 0.250
```

Summary:
ΔE_f in meV per atom: 907.0
Raw total energy in eV/atom: -6.06

=====

# 6
LuTa | PBE | relaxed

The structure in POSCAR format:
```
LuTa
1.0
0.000 2.917 2.917
2.917 0.000 2.917
2.917 2.917 0.000
Lu Ta
1 1
direct
0.000 0.000 0.000
0.500 0.500 0.500
```

Summary:
ΔE_f in meV per atom: 1506.4
Raw total energy in eV/atom: -6.68

=====

# 7
LuTa | PBE | relaxed

The structure in POSCAR format:
```
LuTa
1.0
1.772 -2.948 3.053
1.054 1.437 4.240
-2.520 -1.384 3.590
Ta Lu
1 1
direct
0.250 0.250 0.250
0.000 0.000 0.000
```

Summary:
ΔE_f in meV per atom: 2937.5
Raw total energy in eV/atom: -5.25

=====

# 8
LuTaTc | PBE | relaxed

The structure in POSCAR format:
```
LuTaTc
1.0
-1.398 -4.272 0.073
-3.817 -1.152 -2.076
0.139 -2.475 -3.750
Lu Ta Tc
1 1 1
direct
0.250 0.250 0.250
0.000 0.000 0.000
0.750 0.750 0.750
```

Summary:
ΔE_f in meV per atom: 654.7
Raw total energy in eV/atom: -8.26

=====

# 9
LuTaTe | PBE | relaxed

The structure in POSCAR format:
```
LuTaTe
1.0
2.369 1.368 3.869
-2.369 1.368 3.869
0.000 -2.736 3.869
Ta Lu Te
1 1 1
direct
0.750 0.750 0.750
0.250 0.250 0.250
0.000 0.000 0.000
```

Summary:
Raw total energy in eV/atom: -6.20

=====

# 10
Lu2TaTl | PBE | relaxed

The structure in POSCAR format:
```
Lu2TaTl
1.0
-2.654 -4.250 -0.711
-5.054 0.101 0.248
-2.752 -0.591 -4.206
Tl Lu Ta
1 2 1
direct
0.500 0.500 0.500
0.750 0.750 0.750
0.000 0.000 0.000
0.250 0.250 0.250
```

Summary:
Raw total energy in eV/atom: -5.46

=====

# 11
YLu2Ta | PBE | relaxed

The structure in POSCAR format:
```
YLu2Ta
1.0
4.938 -1.372 1.342
1.037 -4.949 1.578
2.788 -3.246 -3.123
Y Ta Lu
1 1 2
direct
0.000 0.000 0.000
0.250 0.250 0.250
0.500 0.500 0.500
0.750 0.750 0.750
```

Summary:
ΔE_f in meV per atom: 403.0
Raw total energy in eV/atom: -6.44

=====

# 12
LuTa2Zn | PBE | relaxed

The structure in POSCAR format:
```
LuTa2Zn
1.0
1.867 1.929 3.920
-2.601 0.315 3.963
1.027 -2.744 3.740
Ta Lu Zn
2 1 1
direct
0.750 0.750 0.750
0.000 0.000 0.000
0.250 0.250 0.250
0.500 0.500 0.500
```

Summary:
ΔE_f in meV per atom: 205.9
Raw total energy in eV/atom: -7.17

=====

Question: Among the records above, which one has the highest raw total energy?
Answer: SrLuZn